A geometry-optimized MnCrCdO4 structure. Source: Alexandria, functional PBE with a Hubbard U.

Cell: 6.196 6.160 6.179 Å, 120.10 90.00 120.19°
Site moments in Bohr magnetons follow the coordinates.
Sites, in units of the cell vectors:
Mn  0.500  0.000  0.500  2.09
Mn  0.500  0.000  0.000  2.09
Cr  0.500  0.500  0.500  3.00
Cr  0.000  0.500  0.500  3.00
Cd  0.874  0.748  0.124  0.02
Cd  0.126  0.252  0.876  0.02
O  0.731  0.462  0.693  -0.06
O  0.306  0.033  0.266  -0.06
O  0.727  0.033  0.266  -0.06
O  0.731  0.462  0.269  -0.06
O  0.269  0.538  0.731  -0.06
O  0.694  0.967  0.734  -0.06
O  0.273  0.967  0.734  -0.06
O  0.269  0.538  0.307  -0.06

calculated total energy: -6.549 eV/atom